# 1
Compound: MgHgI2
Source: Alexandria via LeMat-Bulk
Functional: PBE-GGA
Structure: optimized geometry

a b c (Å): 4.1751 4.1751 23.9552
angles (deg): 90.00 90.00 120.00
Last column: nearest neighbours and their distance in Å.
Fractional positions:
Mg1 0.0000 0.0000 0.0000  6 I 2.94
Mg2 0.0000 0.0000 0.5000  6 I 2.94
Hg1 0.3333 0.6667 0.2500  6 Hg 4.18, 2 I 4.31
Hg2 0.6667 0.3333 0.7500  6 Hg 4.18, 2 I 4.31
I1 0.3333 0.6667 0.0702  3 Mg 2.94
I2 0.3333 0.6667 0.4298  3 Mg 2.94
I3 0.6667 0.3333 0.5702  3 Mg 2.94
I4 0.6667 0.3333 0.9298  3 Mg 2.94

magnetic moment	0.0	μB/f.u.
formation energy without anion corrections	-0.7560	eV/atom

---

# 2
Compound: MgCu2SiS4
Source: Alexandria via LeMat-Bulk
Functional: PBE-GGA
Structure: optimized geometry

a b c (Å): 7.5872 6.4561 6.2106
angles (deg): 90.00 90.00 90.00
Last column: nearest neighbours and their distance in Å.
Fractional positions:
Mg1 0.0000 0.1542 0.0000  4 S 2.45-2.49
Mg2 0.5000 0.8458 0.5000  4 S 2.45-2.49
Cu1 0.2483 0.3232 0.5100  4 S 2.30-2.34
Cu2 0.2517 0.6768 0.0100  4 S 2.30-2.34
Cu3 0.7483 0.6768 0.0100  4 S 2.30-2.34
Cu4 0.7517 0.3232 0.5100  4 S 2.30-2.34
Si1 0.0000 0.8223 0.5018  4 S 2.16
Si2 0.5000 0.1777 0.0018  4 S 2.16
S1 0.0000 0.1414 0.3994  1 Si 2.16, 2 Cu 2.32
S2 0.0000 0.8042 0.8489  1 Si 2.16, 2 Cu 2.31
S3 0.2287 0.6622 0.3797  1 Si 2.16, 2 Cu 2.30-2.34
S4 0.2713 0.3378 0.8797  1 Si 2.16, 2 Cu 2.30-2.34
S5 0.5000 0.1958 0.3489  1 Si 2.16, 2 Cu 2.31
S6 0.5000 0.8586 0.8994  1 Si 2.16, 2 Cu 2.32
S7 0.7287 0.3378 0.8797  1 Si 2.16, 2 Cu 2.30-2.34
S8 0.7713 0.6622 0.3797  1 Si 2.16, 2 Cu 2.30-2.34

magnetic moment	0.0	μB/f.u.
formation energy without anion corrections	-0.7115	eV/atom

---

# 3
Compound: Tb3Dy2TmS6
Source: Alexandria via LeMat-Bulk
Functional: PBE-GGA
Structure: optimized geometry

a b c (Å): 8.7242 8.7242 7.8424
angles (deg): 103.16 103.16 25.80
Last column: nearest neighbours and their distance in Å.
Fractional positions:
Tb1 0.0000 0.0000 0.0000  6 S 2.76-2.80
Tb2 0.3323 0.3323 0.6673  6 S 2.77-2.78
Tb3 0.6677 0.6677 0.3327  6 S 2.77-2.78
Dy1 0.3328 0.3328 0.1656  6 S 2.74-2.76
Dy2 0.6672 0.6672 0.8344  6 S 2.74-2.76
Tm1 0.0000 0.0000 0.5000  6 S 2.72-2.73
S1 0.1642 0.1642 0.5833  1 Tm 2.72, 2 Dy 2.76, 3 Tb 2.78
S2 0.1669 0.1669 0.0819  3 Dy 2.74-2.75, 3 Tb 2.76-2.77
S3 0.4998 0.4998 0.2558  2 Tm 2.73, 1 Dy 2.76, 3 Tb 2.78-2.80
S4 0.5002 0.5002 0.7442  2 Tm 2.73, 1 Dy 2.76, 3 Tb 2.78-2.80
S5 0.8331 0.8331 0.9181  3 Dy 2.74-2.75, 3 Tb 2.76-2.77
S6 0.8358 0.8358 0.4167  1 Tm 2.72, 2 Dy 2.76, 3 Tb 2.78

magnetic moment	0.0	μB/f.u.
formation energy without anion corrections	-1.9919	eV/atom

---

# 4
Compound: Pr2ErGe3Ir4
Source: Alexandria via LeMat-Bulk
Functional: PBE-GGA
Structure: optimized geometry

a b c (Å): 4.2134 4.2134 11.2278
angles (deg): 90.00 90.00 90.00
Last column: nearest neighbours and their distance in Å.
Fractional positions:
Pr1 0.0000 0.5000 0.2319  4 Ge 3.23, 8 Ir 3.23-3.35
Pr2 0.5000 0.0000 0.7681  4 Ge 3.23, 8 Ir 3.23-3.35
Er1 0.0000 0.0000 0.5000  4 Ir 2.75, 4 Ge 2.98
Ge1 0.0000 0.5000 0.8783  5 Ir 2.48-2.51
Ge2 0.5000 0.0000 0.1217  5 Ir 2.48-2.51
Ge3 0.5000 0.5000 0.5000  4 Ir 2.75, 4 Er 2.98
Ir1 0.0000 0.0000 0.0000  4 Ge 2.51
Ir2 0.0000 0.5000 0.6571  3 Ge 2.48-2.75, 2 Er 2.75
Ir3 0.5000 0.0000 0.3429  3 Ge 2.48-2.75, 2 Er 2.75
Ir4 0.5000 0.5000 0.0000  4 Ge 2.51

magnetic moment	0.0	μB/f.u.
ΔH_f (0 K)	-0.792	eV/atom

---

# 5
Compound: Np4CuSn8
Source: Alexandria via LeMat-Bulk
Functional: PBE-GGA
Structure: optimized geometry

a b c (Å): 4.3663 4.5864 16.4463
angles (deg): 90.00 90.00 90.00
Last column: nearest neighbours and their distance in Å.
Fractional positions:
Np1 0.0000 0.0000 0.0000  10 Sn 3.18-3.37
Np2 0.0000 0.5000 0.4792  10 Sn 3.19-3.43
Np3 0.5000 0.0000 0.7980  8 Sn 3.32-3.67, 4 Cu 3.50
Np4 0.5000 0.5000 0.3039  10 Sn 3.18-3.37
Cu1 0.0000 0.5000 0.7080  5 Sn 2.49-2.65
Sn1 0.0000 0.0000 0.3239  2 Sn 3.05, 4 Np 3.18
Sn2 0.0000 0.0000 0.6277  2 Cu 2.65
Sn3 0.0000 0.5000 0.1501  6 Sn 3.17-3.54, 4 Np 3.34-3.37
Sn4 0.0000 0.5000 0.8594  1 Cu 2.49
Sn5 0.5000 0.0000 0.1543  6 Sn 3.17-3.54, 4 Np 3.35-3.36
Sn6 0.5000 0.0000 0.4537  2 Sn 3.05, 6 Np 3.19-3.37
Sn7 0.5000 0.5000 0.6234  2 Cu 2.59
Sn8 0.5000 0.5000 0.9807  2 Sn 2.96, 4 Np 3.18

magnetic moment	16.7	μB/f.u.
ΔH_f (0 K)	-0.010	eV/atom

---

# 6
Compound: Dy4Si2N
Source: Alexandria via LeMat-Bulk
Functional: PBE-GGA
Structure: optimized geometry

a b c (Å): 8.2465 8.2465 8.2465
angles (deg): 147.80 147.80 46.18
Last column: nearest neighbours and their distance in Å.
Fractional positions:
Dy1 0.0000 0.5000 0.5000  2 N 2.29
Dy2 0.1701 0.1701 0.0000  1 N 2.58
Dy3 0.5000 0.0000 0.5000  2 N 2.29
Dy4 0.8299 0.8299 0.0000  1 N 2.58
Si1 0.3630 0.3630 0.0000  9 Dy 2.93-3.27
Si2 0.6370 0.6370 0.0000  9 Dy 2.93-3.27
N1 0.0000 0.0000 0.0000  4 Dy 2.29

magnetic moment	0.0	μB/f.u.
formation energy without anion corrections	-0.8790	eV/atom

---

# 7
Compound: Sb2HIO
Source: Alexandria via LeMat-Bulk
Functional: PBE-GGA
Structure: optimized geometry

a b c (Å): 4.5332 4.5332 6.1939
angles (deg): 90.00 90.00 90.00
Last column: nearest neighbours and their distance in Å.
Fractional positions:
Sb1 0.0000 0.5000 0.0000  2 O 2.27
Sb2 0.5000 0.0000 0.0000  2 O 2.27
H1 0.0000 0.0000 0.5000  4 I 3.21
I1 0.5000 0.5000 0.5000  2 O 3.10, 4 H 3.21
O1 0.5000 0.5000 0.0000  4 Sb 2.27

magnetic moment	0.9	μB/f.u.
VASP energy	-3.0732	eV/atom

---

# 8
Compound: ZnTe2PdI
Source: Alexandria via LeMat-Bulk
Functional: PBE-GGA
Structure: optimized geometry

a b c (Å): 5.3449 5.3449 5.4805
angles (deg): 90.00 90.00 90.00
Last column: nearest neighbours and their distance in Å.
Fractional positions:
Zn1 0.0000 0.0000 0.0000  4 I 3.78, 8 Te 3.83
Te1 0.0000 0.5000 0.5000  2 Pd 2.67
Te2 0.5000 0.0000 0.5000  2 Pd 2.67
Pd1 0.5000 0.5000 0.5000  4 Te 2.67, 2 I 2.74
I1 0.5000 0.5000 0.0000  2 Pd 2.74

magnetic moment	0.0	μB/f.u.
formation energy without anion corrections	0.3516	eV/atom

---

# 9
Compound: BaMgP2Pt4
Source: Alexandria via LeMat-Bulk
Functional: PBE-GGA
Structure: optimized geometry

a b c (Å): 4.0791 4.0791 9.7183
angles (deg): 90.00 90.00 90.00
Last column: nearest neighbours and their distance in Å.
Fractional positions:
Ba1 0.0000 0.0000 0.0000  8 P 3.45, 8 Pt 3.65
Mg1 0.0000 0.0000 0.5000  8 Pt 2.74
P1 0.5000 0.5000 0.1940  4 Pt 2.34
P2 0.5000 0.5000 0.8060  4 Pt 2.34
Pt1 0.0000 0.5000 0.3117  2 P 2.34
Pt2 0.0000 0.5000 0.6883  2 P 2.34
Pt3 0.5000 0.0000 0.3117  2 P 2.34
Pt4 0.5000 0.0000 0.6883  2 P 2.34

magnetic moment	0.0	μB/f.u.
ΔH_f (0 K)	-0.744	eV/atom

---

# 10
Compound: Sm7DyTm12
Source: Alexandria via LeMat-Bulk
Functional: PBE-GGA
Structure: optimized geometry

a b c (Å): 9.6607 9.6607 9.6607
angles (deg): 109.47 109.47 109.47
Last column: nearest neighbours and their distance in Å.
Fractional positions:
Sm1 0.0000 0.0000 0.5000  6 Tm 2.79
Sm2 0.0000 0.5000 0.0000  6 Tm 2.79
Sm3 0.0000 0.5000 0.5000  12 Tm 3.94-3.99
Sm4 0.5000 0.0000 0.0000  6 Tm 2.79
Sm5 0.5000 0.0000 0.5000  12 Tm 3.94-3.99
Sm6 0.5000 0.5000 0.0000  12 Tm 3.94-3.99
Sm7 0.5000 0.5000 0.5000  6 Tm 2.79
Dy1 0.0000 0.0000 0.0000  12 Tm 3.90
Tm1 0.0000 0.2472 0.7528  2 Sm 2.79
Tm2 0.0000 0.7528 0.2472  2 Sm 2.79
Tm3 0.2472 0.0000 0.7528  2 Sm 2.79
Tm4 0.2472 0.2472 0.4944  2 Sm 2.79
Tm5 0.2472 0.4944 0.2472  2 Sm 2.79
Tm6 0.2472 0.7528 0.0000  2 Sm 2.79
Tm7 0.4944 0.2472 0.2472  2 Sm 2.79
Tm8 0.5056 0.7528 0.7528  2 Sm 2.79
Tm9 0.7528 0.0000 0.2472  2 Sm 2.79
Tm10 0.7528 0.2472 0.0000  2 Sm 2.79
Tm11 0.7528 0.5056 0.7528  2 Sm 2.79
Tm12 0.7528 0.7528 0.5056  2 Sm 2.79

magnetic moment	0.0	μB/f.u.
ΔH_f (0 K)	0.687	eV/atom

---

# 11
Compound: Cr2OsAu
Source: Alexandria via LeMat-Bulk
Functional: PBE-GGA
Structure: optimized geometry

a b c (Å): 9.0307 9.0307 9.0307
angles (deg): 17.24 17.24 17.24
Last column: nearest neighbours and their distance in Å.
Fractional positions:
Cr1 0.2459 0.2459 0.2459  3 Os 2.63, 6 Cr 2.71, 3 Au 2.81
Cr2 0.7541 0.7541 0.7541  3 Os 2.63, 6 Cr 2.71, 3 Au 2.81
Os1 0.5000 0.5000 0.5000  6 Cr 2.63, 6 Os 2.71
Au1 0.0000 0.0000 0.0000  6 Au 2.71, 6 Cr 2.81

magnetic moment	0.0	μB/f.u.
ΔH_f (0 K)	0.348	eV/atom